Entry 1:
This record from Alexandria via LeMat-Bulk describes crystalline Ac4In2Ni at its relaxed geometry. The functional is PBE.

Summary:
Total energy = -29.64 eV per formula unit
Distance to the lowest polymorph of the same formula = 0.000 eV per atom
Energy of formation = -0.28 eV per atom
Magnetic moment = 0.000 μB per cell
Space group = No. 11
Density of states at the Fermi level = 10.21 states/eV/cell

Lattice parameters (Å, degrees): 6.6959 7.4304 10.9566 90.00 114.63 90.00
Atoms (fractional coordinates):
1 Ac 0.5171 0.4976 0.7469
2 Ac 0.5171 0.0024 0.7469
3 Ac 0.9046 0.2500 0.6003
4 Ac 0.0954 0.7500 0.3997
5 Ac 0.4829 0.9976 0.2531
6 Ac 0.8949 0.2500 0.0996
7 Ac 0.1051 0.7500 0.9004
8 Ac 0.4829 0.5024 0.2531
9 In 0.7429 0.7500 0.5587
10 In 0.3123 0.2500 0.9517
11 In 0.6877 0.7500 0.0483
12 In 0.2571 0.2500 0.4413
13 Ni 0.8863 0.2500 0.8457
14 Ni 0.1137 0.7500 0.1543

---

Entry 2:
This record from Alexandria via LeMat-Bulk describes crystalline AcIn7Ni5 at its relaxed geometry. The functional is PBE.

Summary:
Total energy = -54.08 eV per formula unit
Energy of formation = -0.15 eV per atom
Magnetic moment = 0.000 μB per cell
Space group = No. 44
Density of states at the Fermi level = 10.88 states/eV/cell

Lattice parameters (Å, degrees): 5.5116 7.2423 7.2423 82.04 67.63 67.63
Atoms (fractional coordinates):
1 Ni 0.7293 0.7707 0.7707
2 Ni 0.4934 0.9999 0.4966
3 Ni 0.4934 0.4966 0.9999
4 Ni 0.0101 0.9999 0.4966
5 Ni 0.0101 0.4966 0.9999
6 In 0.9767 0.3676 0.6789
7 In 0.5176 0.7780 0.1868
8 In 0.9767 0.6789 0.3676
9 In 0.2682 0.2318 0.2318
10 In 0.3418 0.6582 0.6582
11 In 0.5176 0.1868 0.7780
12 In 0.6568 0.3432 0.3432
13 Ac 0.0082 0.9918 0.9918

---

Entry 3:
This record from Alexandria via LeMat-Bulk describes crystalline Ac3InNi at its relaxed geometry. The functional is PBE.

Summary:
Total energy = -21.79 eV per formula unit
Distance to the lowest polymorph of the same formula = 0.078 eV per atom
Energy of formation = -0.19 eV per atom
Magnetic moment = 0.000 μB per cell
Space group = No. 221
Density of states at the Fermi level = 6.33 states/eV/cell

Lattice parameters (Å, degrees): 5.6449 5.6449 5.6449 90.00 90.00 90.00
Atoms (fractional coordinates):
1 Ni 0.0000 0.0000 0.0000
2 Ac 0.0000 0.5000 0.0000
3 Ac 0.5000 0.0000 0.0000
4 Ac 0.0000 0.0000 0.5000
5 In 0.5000 0.5000 0.5000

---

Entry 4:
This record from Alexandria via LeMat-Bulk describes crystalline AcInNi at its relaxed geometry. The functional is PBE.

Summary:
Total energy = -13.37 eV per formula unit
Distance to the lowest polymorph of the same formula = 0.173 eV per atom
Energy of formation = -0.25 eV per atom
Magnetic moment = 0.000 μB per cell
Space group = No. 216
Density of states at the Fermi level = 3.87 states/eV/cell

Lattice parameters (Å, degrees): 4.8714 4.8714 4.8714 60.00 60.00 60.00
Atoms (fractional coordinates):
1 In 0.0000 0.0000 0.0000
2 Ni 0.2500 0.2500 0.2500
3 Ac 0.5000 0.5000 0.5000

---

Entry 5:
This record from Alexandria via LeMat-Bulk describes crystalline Ac12InNi6 at its relaxed geometry. The functional is PBE.

Summary:
Total energy = -91.30 eV per formula unit
Energy of formation = -0.24 eV per atom
Magnetic moment = 0.000 μB per cell
Space group = No. 204
Density of states at the Fermi level = 15.14 states/eV/cell

Lattice parameters (Å, degrees): 9.2671 9.2671 9.2671 109.47 109.47 109.47
Atoms (fractional coordinates):
1 Ni 0.5000 0.8824 0.3824
2 Ni 0.1176 0.6176 0.5000
3 Ni 0.6176 0.5000 0.1176
4 Ni 0.5000 0.1176 0.6176
5 Ni 0.8824 0.3824 0.5000
6 Ni 0.3824 0.5000 0.8824
7 Ac 0.1818 0.6881 0.8698
8 Ac 0.8182 0.6881 0.5063
9 Ac 0.6881 0.8698 0.1818
10 Ac 0.8698 0.1818 0.6881
11 Ac 0.4937 0.1818 0.3120
12 Ac 0.3120 0.1302 0.8182
13 Ac 0.3120 0.4937 0.1818
14 Ac 0.5063 0.8182 0.6881
15 Ac 0.8182 0.3120 0.1302
16 Ac 0.1302 0.8182 0.3120
17 Ac 0.1818 0.3120 0.4937
18 Ac 0.6881 0.5063 0.8182
19 In 0.0000 0.0000 0.0000

---

Entry 6:
This record from Alexandria via LeMat-Bulk describes crystalline AcIn6Ni6 at its relaxed geometry. The functional is PBE.

Summary:
Total energy = -57.24 eV per formula unit
Energy of formation = -0.16 eV per atom
Magnetic moment = 0.000 μB per cell
Space group = No. 71
Density of states at the Fermi level = 8.83 states/eV/cell

Lattice parameters (Å, degrees): 5.3603 7.1008 7.1008 80.47 67.82 67.82
Atoms (fractional coordinates):
1 Ac 0.0000 0.0000 0.0000
2 Ni 0.5000 0.2361 0.7639
3 Ni 0.5000 0.5000 0.0000
4 Ni 0.5000 0.7639 0.2361
5 Ni 0.0000 0.5000 0.0000
6 Ni 0.5000 0.0000 0.5000
7 Ni 0.0000 0.0000 0.5000
8 In 0.3089 0.1911 0.1911
9 In 0.3473 0.6527 0.6527
10 In 0.0000 0.3389 0.6611
11 In 0.0000 0.6611 0.3389
12 In 0.6911 0.8089 0.8089
13 In 0.6527 0.3473 0.3473

---

Entry 7:
This record from Alexandria via LeMat-Bulk describes crystalline Ac3InNi at its relaxed geometry. The functional is PBE.

Summary:
Total energy = -22.12 eV per formula unit
Distance to the lowest polymorph of the same formula = 0.012 eV per atom
Energy of formation = -0.25 eV per atom
Magnetic moment = 0.000 μB per cell
Space group = No. 14
Density of states at the Fermi level = 20.45 states/eV/cell

Lattice parameters (Å, degrees): 7.2089 10.3696 10.3397 113.82 90.00 90.00
Atoms (fractional coordinates):
1 Ni 0.2607 0.8865 0.9142
2 Ni 0.2393 0.3865 0.9142
3 Ni 0.7607 0.6135 0.0858
4 Ni 0.7393 0.1135 0.0858
5 In 0.1579 0.4239 0.4122
6 In 0.3421 0.9239 0.4122
7 In 0.6579 0.0761 0.5878
8 In 0.8421 0.5761 0.5878
9 Ac 0.0791 0.0571 0.2040
10 Ac 0.5791 0.4429 0.7960
11 Ac 0.5707 0.8592 0.0805
12 Ac 0.9293 0.3592 0.0805
13 Ac 0.5954 0.2706 0.3823
14 Ac 0.4293 0.1408 0.9195
15 Ac 0.9046 0.7706 0.3823
16 Ac 0.4046 0.7294 0.6177
17 Ac 0.9209 0.9429 0.7960
18 Ac 0.0954 0.2294 0.6177
19 Ac 0.4209 0.5571 0.2040
20 Ac 0.0707 0.6408 0.9195

---

Entry 8:
This record from Alexandria via LeMat-Bulk describes crystalline AcInNi at its relaxed geometry. The functional is PBE.

Summary:
Total energy = -13.01 eV per formula unit
Distance to the lowest polymorph of the same formula = 0.291 eV per atom
Energy of formation = -0.13 eV per atom
Magnetic moment = 0.000 μB per cell
Space group = No. 107
Density of states at the Fermi level = 3.49 states/eV/cell

Lattice parameters (Å, degrees): 3.4967 3.4967 6.4792 105.65 105.65 90.00
Atoms (fractional coordinates):
1 Ni 0.6852 0.6852 0.3704
2 Ac 0.0181 0.0181 0.0362
3 In 0.2967 0.2967 0.5933

---

Entry 9:
This record from Alexandria via LeMat-Bulk describes crystalline Ac2InNi at its relaxed geometry. The functional is PBE.

Summary:
Total energy = -16.68 eV per formula unit
Energy of formation = 0.01 eV per atom
Magnetic moment = 0.000 μB per cell
Space group = No. 166
Density of states at the Fermi level = 3.87 states/eV/cell

Lattice parameters (Å, degrees): 4.2074 4.2074 10.5098 78.45 78.45 60.00
Atoms (fractional coordinates):
1 Ac 0.8859 0.8859 0.3423
2 Ac 0.1141 0.1141 0.6577
3 In 0.0000 0.0000 0.0000
4 Ni 0.5000 0.5000 0.5000

---

Entry 10:
This record from Alexandria via LeMat-Bulk describes crystalline Ac12In6Ni at its relaxed geometry. The functional is PBE.

Summary:
Total energy = -75.47 eV per formula unit
Energy of formation = -0.21 eV per atom
Magnetic moment = 0.000 μB per cell
Space group = No. 148
Density of states at the Fermi level = 22.84 states/eV/cell

Lattice parameters (Å, degrees): 9.0978 9.0978 9.0978 93.13 93.13 93.13
Atoms (fractional coordinates):
1 Ac 0.3100 0.9608 0.0817
2 Ac 0.9608 0.0817 0.3100
3 Ac 0.4246 0.5468 0.1945
4 Ac 0.9183 0.6900 0.0392
5 Ac 0.0817 0.3100 0.9608
6 Ac 0.6900 0.0392 0.9183
7 Ac 0.1945 0.4246 0.5468
8 Ac 0.4532 0.8055 0.5754
9 Ac 0.8055 0.5754 0.4532
10 Ac 0.0392 0.9183 0.6900
11 Ac 0.5754 0.4532 0.8055
12 Ac 0.5468 0.1945 0.4246
13 In 0.1425 0.7410 0.3518
14 In 0.7410 0.3518 0.1425
15 In 0.3518 0.1425 0.7410
16 In 0.8575 0.2590 0.6482
17 In 0.2590 0.6482 0.8575
18 In 0.6482 0.8575 0.2590
19 Ni 0.0000 0.0000 0.0000

---

Entry 11:
This record from Alexandria via LeMat-Bulk describes crystalline Ac4In2Ni at its relaxed geometry. The functional is PBE.

Summary:
Total energy = -29.27 eV per formula unit
Distance to the lowest polymorph of the same formula = 0.054 eV per atom
Energy of formation = -0.22 eV per atom
Magnetic moment = 0.000 μB per cell
Space group = No. 139
Density of states at the Fermi level = 5.92 states/eV/cell

Lattice parameters (Å, degrees): 5.4898 5.4898 9.4782 106.83 106.83 90.00
Atoms (fractional coordinates):
1 Ac 0.1788 0.1788 0.3575
2 Ac 0.0000 0.5000 0.0000
3 Ac 0.8212 0.8212 0.6425
4 Ac 0.5000 0.0000 0.0000
5 In 0.6305 0.6305 0.2609
6 In 0.3695 0.3695 0.7391
7 Ni 0.0000 0.0000 0.0000

---

Entry 12:
This record from Alexandria via LeMat-Bulk describes crystalline Ac2In6Ni3 at its relaxed geometry. The functional is PBE.

Summary:
Total energy = -45.09 eV per formula unit
Energy of formation = -0.28 eV per atom
Magnetic moment = 0.000 μB per cell
Space group = No. 189
Density of states at the Fermi level = 6.21 states/eV/cell

Lattice parameters (Å, degrees): 4.4636 8.2863 8.2863 120.00 90.00 90.00
Atoms (fractional coordinates):
1 Ni 0.5000 0.6313 0.0000
2 Ni 0.5000 0.3687 0.3687
3 Ni 0.5000 0.0000 0.6313
4 In 0.5000 0.6878 0.6878
5 In 0.5000 0.0000 0.3122
6 In 0.0000 0.0000 0.7920
7 In 0.0000 0.7920 0.0000
8 In 0.5000 0.3122 0.0000
9 In 0.0000 0.2080 0.2080
10 Ac 0.0000 0.6667 0.3333
11 Ac 0.0000 0.3333 0.6667

---

Question: Which formula does entry 5 have?
Answer: Ac12InNi6